# 1
A geometry-optimized KGaRhSe3 structure, computed with PBE.

Results
uncorrected formation energy = -0.59 eV per atom
mass density = 4.5 Mg/m³
crystal system = monoclinic

Geometry as POSCAR:
```
KGaRhSe3
1.0
8.512 0.000 0.000
0.000 3.849 0.000
-2.468 0.000 10.067
K Ga Rh Se
2 2 2 6
direct
0.186 0.250 0.195
0.814 0.750 0.805
0.107 0.250 0.619
0.893 0.750 0.381
0.364 0.750 0.879
0.636 0.250 0.121
0.160 0.250 0.855
0.199 0.750 0.504
0.459 0.750 0.133
0.541 0.250 0.867
0.801 0.250 0.496
0.840 0.750 0.145
```

***

# 2
A geometry-optimized Y2InCu structure, computed with PBE.

Results
total DFT energy (no corrections) = -5.254 eV per atom
mass density = 6.0 Mg/m³
crystal system = tetragonal

Geometry as POSCAR:
```
Y2InCu
1.0
5.153 0.000 0.000
0.000 5.153 0.000
0.000 0.000 3.683
Y In Cu
2 1 1
direct
0.000 0.500 0.000
0.500 0.000 0.000
0.000 0.000 0.500
0.500 0.500 0.500
```

***

# 3
A geometry-optimized Tb6Sm2Ag structure, computed with PBE.

Results
total DFT energy (no corrections) = -4.427 eV per atom
mass density = 8.2 Mg/m³
crystal system = monoclinic

Geometry as POSCAR:
```
Tb6Sm2Ag
1.0
5.462 0.000 0.000
0.000 9.865 0.000
-5.455 0.000 10.185
Tb Sm Ag
12 4 2
direct
0.068 0.185 0.068
0.068 0.315 0.568
0.315 0.022 0.815
0.315 0.478 0.315
0.393 0.133 0.393
0.393 0.367 0.893
0.607 0.633 0.107
0.607 0.867 0.607
0.685 0.522 0.685
0.685 0.978 0.185
0.932 0.685 0.432
0.932 0.815 0.932
0.258 0.695 0.758
0.258 0.805 0.258
0.742 0.195 0.742
0.742 0.305 0.242
0.000 0.000 0.500
0.000 0.500 0.000
```

***

# 4
A geometry-optimized LaTiTc2Sn structure, computed with PBE.

Results
total DFT energy (no corrections) = -7.016 eV per atom
mass density = 7.3 Mg/m³
crystal system = tetragonal

Geometry as POSCAR:
```
LaTiTc2Sn
1.0
4.682 0.000 0.000
0.000 4.682 0.000
0.000 0.000 5.189
La Ti Tc Sn
1 1 2 1
direct
0.000 0.000 0.000
0.500 0.500 0.500
0.000 0.500 0.500
0.500 0.000 0.500
0.500 0.500 0.000
```

***

# 5
A geometry-optimized Re2SiPt structure, computed with PBE.

Results
uncorrected formation energy = -0.13 eV per atom
mass density = 17.3 Mg/m³
crystal system = orthorhombic

Geometry as POSCAR:
```
Re2SiPt
1.0
-1.502 2.196 4.341
1.502 -2.196 4.341
1.502 2.196 -4.341
Re Si Pt
2 1 1
direct
0.000 0.000 0.000
0.729 0.229 0.500
0.226 0.726 0.500
0.445 0.445 0.000
```

***

# 6
A geometry-optimized Hf2SbPd2 structure, computed with PBE.

Results
E above lowest polymorph = 0.0000 eV per atom
uncorrected formation energy = -0.61 eV per atom
mass density = 11.8 Mg/m³
crystal system = tetragonal

Geometry as POSCAR:
```
Hf2SbPd2
1.0
7.222 0.000 0.000
0.000 7.222 0.000
0.000 0.000 3.729
Hf Sb Pd
4 2 4
direct
0.166 0.334 0.000
0.334 0.834 0.000
0.666 0.166 0.000
0.834 0.666 0.000
0.000 0.000 0.500
0.500 0.500 0.500
0.131 0.631 0.500
0.369 0.131 0.500
0.631 0.869 0.500
0.869 0.369 0.500
```

***

# 7
A geometry-optimized Nd2MgS4 structure, computed with PBE.

Results
E above lowest polymorph = 0.0000 eV per atom
uncorrected formation energy = -1.84 eV per atom
mass density = 3.8 Mg/m³
crystal system = orthorhombic

Geometry as POSCAR:
```
Nd2MgS4
1.0
13.930 0.000 0.000
0.000 8.223 0.000
0.000 0.000 6.664
Nd Mg S
8 4 16
direct
0.000 0.000 0.000
0.000 0.500 0.000
0.229 0.250 0.489
0.271 0.750 0.989
0.500 0.000 0.500
0.500 0.500 0.500
0.729 0.250 0.011
0.771 0.750 0.511
0.097 0.750 0.418
0.403 0.250 0.918
0.597 0.750 0.082
0.903 0.250 0.582
0.065 0.250 0.740
0.091 0.750 0.780
0.170 0.518 0.241
0.170 0.982 0.241
0.330 0.018 0.741
0.330 0.482 0.741
0.409 0.250 0.280
0.435 0.750 0.240
0.565 0.250 0.760
0.591 0.750 0.720
0.670 0.518 0.259
0.670 0.982 0.259
0.830 0.018 0.759
0.830 0.482 0.759
0.909 0.250 0.220
0.935 0.750 0.260
```

***

# 8
A geometry-optimized Nd4Dy3ThS8 structure, computed with PBE.

Results
uncorrected formation energy = -1.98 eV per atom
mass density = 7.1 Mg/m³
crystal system = trigonal

Geometry as POSCAR:
```
Nd4Dy3ThS8
1.0
4.000 2.309 6.566
-4.000 2.309 6.566
0.000 -4.619 6.566
Nd Dy Th S
4 3 1 8
direct
0.000 0.000 0.000
0.000 0.500 0.500
0.500 0.000 0.500
0.500 0.500 0.000
0.000 0.000 0.500
0.000 0.500 0.000
0.500 0.000 0.000
0.500 0.500 0.500
0.240 0.749 0.749
0.245 0.245 0.245
0.251 0.251 0.760
0.251 0.760 0.251
0.749 0.240 0.749
0.749 0.749 0.240
0.755 0.755 0.755
0.760 0.251 0.251
```